Density functional theory data (PBE) for a relaxed Tb4Dy4Mg crystal.

The space group is C2/m (No. 12) and the conventional cell measures 6.186, 17.230 and 10.552 Å, with angles of 90.00, 97.37 and 90.00 degrees. The distinct sites, in fractional coordinates, are Tb at (0.000, 0.144, 0.000), Tb at (0.000, 0.316, 0.500), Tb at (0.007, 0.142, 0.333), Dy at (0.004, 0.317, 0.167), Dy at (0.224, 0.500, 0.443), Dy at (0.226, 0.500, 0.116) and Mg at (0.241, 0.500, 0.782).

The mass density comes out at 7.80 g/cm³. Its energy of formation from the pure elements is 0.068 eV per atom.



Density functional theory data (PBE) for a relaxed Sc2TeOs crystal.

The space group is P4mm (No. 99) and the conventional cell measures 3.246, 3.246 and 7.910 Å, with angles of 90.00, 90.00 and 90.00 degrees. The distinct sites, in fractional coordinates, are Sc at (0.000, 0.000, 0.000), Sc at (0.500, 0.500, 0.320), Te at (0.000, 0.000, 0.579) and Os at (0.500, 0.500, 0.792).

For the uncorrected formation energy, the calculation gives -10 meV per atom. The mass density comes out at 8.13 g/cm³.



Density functional theory data (PBE) for a relaxed Al2TlCd2 crystal.

The space group is P4/mbm (No. 127) and the conventional cell measures 8.766, 8.766 and 2.992 Å, with angles of 90.00, 90.00 and 90.00 degrees. The distinct sites, in fractional coordinates, are Al at (0.120, 0.380, 0.000), Tl at (0.000, 0.000, 0.500) and Cd at (0.175, 0.675, 0.500).

The mass density comes out at 6.98 g/cm³. Its energy of formation from the pure elements is 0.187 eV per atom. For the energy above the lowest structure with this stoichiometry, the calculation gives 22 meV/atom.



Density functional theory data (PBE) for a relaxed Ca2Ac3Ge3 crystal.

The space group is P6_3/mcm (No. 193) and the conventional cell measures 9.2675, 9.2675 and 6.8392 Å, with angles of 90.00, 90.00 and 120.00 degrees. The distinct sites, in fractional coordinates, are Ca at (0.3333, 0.6667, 0.0000), Ac at (0.0000, 0.2691, 0.2500) and Ge at (0.0000, 0.3842, 0.7500).

The mass density comes out at 6.39 g/cm³. Its energy of formation from the pure elements is -0.648 eV per atom. For the energy above the lowest structure with this stoichiometry, the calculation gives 0 meV/atom.



Density functional theory data (PBE) for a relaxed LiHI2O crystal.

The space group is P4/mmm (No. 123) and the conventional cell measures 6.145, 6.145 and 3.355 Å, with angles of 90.00, 90.00 and 90.00 degrees. The distinct sites, in fractional coordinates, are Li at (0.000, 0.000, 0.000), H at (0.500, 0.500, 0.500), I at (0.000, 0.500, 0.000) and O at (0.000, 0.000, 0.500).

The mass density comes out at 3.64 g/cm³. For the energy above the lowest structure with this stoichiometry, the calculation gives 371 meV/atom.



Density functional theory data (PBE) for a relaxed HgH5Pd4 crystal.

The space group is Pmmn (No. 59, origin choice 2) and the conventional cell measures 5.542, 8.225 and 4.690 Å, with angles of 90.00, 90.00 and 90.00 degrees. The distinct sites, in fractional coordinates, are Hg at (0.250, 0.250, 0.153), H at (0.016, 0.552, 0.214), H at (0.250, 0.750, 0.620), Pd at (0.005, 0.750, 0.355) and Pd at (0.250, 0.563, 0.883).

The mass density comes out at 9.81 g/cm³. For the energy above the lowest structure with this stoichiometry, the calculation gives 81 meV/atom.



| no. | E (eV per atom) |
| --- | --- |
| 1 | -4.21 |
| 2 | -6.77 |
| 3 | -2.15 |
| 4 | -4.42 |
| 5 | -2.29 |
| 6 | -3.73 |